PrYPu2As4 (PBE, optimized geometry); energy of formation from the pure elements = -1.27 eV per atom; final energy = -8.579 eV per atom
1.0
-3.037 -2.096 -1.971
-2.638 -2.180 6.384
-3.084 6.238 -1.883
As Pu Pr Y
4 2 1 1
direct
0.000 0.241 0.739
0.000 0.759 0.261
0.500 0.753 0.743
0.500 0.247 0.257
0.000 0.500 0.500
0.500 0.000 0.500
0.500 0.500 0.000
0.000 0.000 0.000

=====

PrPu2ZrAs4 (PBE, optimized geometry); energy of formation from the pure elements = -1.17 eV per atom; final energy = -8.739 eV per atom
1.0
-0.371 -4.016 0.769
2.456 1.044 6.634
-7.051 0.648 -0.017
Pu Zr As Pr
2 1 4 1
direct
0.500 0.000 0.500
0.000 0.500 0.500
0.000 0.000 0.000
0.500 0.234 0.244
0.000 0.234 0.747
0.000 0.766 0.253
0.500 0.766 0.756
0.500 0.500 0.000